The following is a DFT calculation (PBE-GGA) of a relaxed structure of Nd3CdFe.

Fermi-level density of states: 1.38 states/eV/atom
Volume: 29.303 A^3/atom
Formation energy: 5 kJ/mol of atoms

```
data_Nd3CdFe
_cell_length_a 5.272
_cell_length_b 5.272
_cell_length_c 5.272
_cell_angle_alpha 90.00
_cell_angle_beta 90.00
_cell_angle_gamma 90.00
_symmetry_space_group_name_H-M 'P m -3 m'
_symmetry_Int_Tables_number 221
_symmetry_space_group_name_Hall '-P 4 2 3'
loop_
_atom_site_label
_atom_site_fract_x
_atom_site_fract_y
_atom_site_fract_z
_atom_site_occupancy
Nd1 0.000 0.000 0.500 1
Cd1 0.500 0.500 0.500 1
Fe1 0.000 0.000 0.000 1
```



The following is a DFT calculation (PBE-GGA) of a relaxed structure of K4CaAl.

Fermi-level density of states: 0.93 states/eV/atom
Volume: 49.766 A^3/atom
Formation energy: 43 kJ/mol of atoms

```
data_K4CaAl
_cell_length_a 10.610
_cell_length_b 10.610
_cell_length_c 10.610
_cell_angle_alpha 90.00
_cell_angle_beta 90.00
_cell_angle_gamma 90.00
_symmetry_space_group_name_H-M 'F -4 3 m'
_symmetry_Int_Tables_number 216
_symmetry_space_group_name_Hall 'F -4 2 3'
loop_
_atom_site_label
_atom_site_fract_x
_atom_site_fract_y
_atom_site_fract_z
_atom_site_occupancy
K1 0.124 0.124 0.124 1
Ca1 0.000 0.000 0.500 1
Al1 0.250 0.250 0.750 1
```



The following is a DFT calculation (PBE-GGA) of a relaxed structure of Dy5YTm3.

Fermi-level density of states: 1.39 states/eV/atom
Energy above the most stable polymorph in this dataset: 283 meV/atom
Volume: 35.788 A^3/atom
Formation energy: 50 kJ/mol of atoms

```
data_Dy5YTm3
_cell_length_a 15.031
_cell_length_b 11.360
_cell_length_c 9.850
_cell_angle_alpha 90.00
_cell_angle_beta 130.00
_cell_angle_gamma 90.00
_symmetry_space_group_name_H-M 'C 1 2/m 1'
_symmetry_Int_Tables_number 12
loop_
_symmetry_equiv_pos_as_xyz
'x,y,z'
'-x,-y,-z'
'-x,y,-z'
'x,-y,z'
'x+1/2,y+1/2,z'
'-x+1/2,-y+1/2,-z'
'-x+1/2,y+1/2,-z'
'x+1/2,-y+1/2,z'
loop_
_atom_site_label
_atom_site_fract_x
_atom_site_fract_y
_atom_site_fract_z
_atom_site_occupancy
Dy1 0.000 0.242 0.000 1
Dy2 0.147 0.248 0.749 1
Dy3 0.221 0.500 0.038 1
Dy4 0.224 0.000 0.234 1
Y1 0.247 0.000 0.597 1
Tm1 0.000 0.000 0.500 1
Tm2 0.000 0.500 0.000 1
Tm3 0.011 0.000 0.821 1
Tm4 0.019 0.500 0.361 1
```



The following is a DFT calculation (PBE-GGA) of a relaxed structure of TbThNi2.

Fermi-level density of states: 0.75 states/eV/atom
Energy above the most stable polymorph in this dataset: 119 meV/atom
Volume: 20.571 A^3/atom
Formation energy: -31 kJ/mol of atoms

```
data_TbThNi2
_cell_length_a 6.904
_cell_length_b 6.904
_cell_length_c 6.904
_cell_angle_alpha 90.00
_cell_angle_beta 90.00
_cell_angle_gamma 90.00
_symmetry_space_group_name_H-M 'F m -3 m'
_symmetry_Int_Tables_number 225
_symmetry_space_group_name_Hall '-F 4 2 3'
loop_
_atom_site_label
_atom_site_fract_x
_atom_site_fract_y
_atom_site_fract_z
_atom_site_occupancy
Tb1 0.000 0.000 0.000 1
Th1 0.000 0.000 0.500 1
Ni1 0.250 0.250 0.250 1
```



The following is a DFT calculation (PBE-GGA) of a relaxed structure of Na2TlSe.

Fermi-level density of states: 0.24 states/eV/atom
Uncorrected formation energy: -0.39 eV/atom
Energy above the most stable polymorph in this dataset: 99 meV/atom
Volume: 30.061 A^3/atom

```
data_Na2TlSe
_cell_length_a 4.974
_cell_length_b 4.974
_cell_length_c 19.437
_cell_angle_alpha 90.00
_cell_angle_beta 90.00
_cell_angle_gamma 90.00
_symmetry_space_group_name_H-M 'I -4 2 d'
_symmetry_Int_Tables_number 122
_symmetry_space_group_name_Hall 'I -4 2bw'
loop_
_atom_site_label
_atom_site_fract_x
_atom_site_fract_y
_atom_site_fract_z
_atom_site_occupancy
Na1 0.200 0.250 0.125 1
Tl1 0.000 0.000 0.500 1
Se1 0.000 0.000 0.000 1
```



The following is a DFT calculation (PBE-GGA) of a relaxed structure of RbTl2InBr4.

Fermi-level density of states: 0.00 states/eV/atom
Uncorrected formation energy: -1.03 eV/atom
Volume: 39.294 A^3/atom

```
data_RbTl2InBr4
_cell_length_a 8.323
_cell_length_b 4.814
_cell_length_c 8.323
_cell_angle_alpha 90.00
_cell_angle_beta 109.51
_cell_angle_gamma 90.00
_symmetry_space_group_name_H-M 'P 1 2/m 1'
_symmetry_Int_Tables_number 10
loop_
_symmetry_equiv_pos_as_xyz
'x,y,z'
'-x,-y,-z'
'-x,y,-z'
'x,-y,z'
loop_
_atom_site_label
_atom_site_fract_x
_atom_site_fract_y
_atom_site_fract_z
_atom_site_occupancy
Rb1 0.000 0.000 0.000 1
Tl1 0.000 0.500 0.500 1
Tl2 0.500 0.000 0.500 1
In1 0.500 0.500 0.000 1
Br1 0.254 0.000 0.750 1
Br2 0.255 0.500 0.253 1
```



The following is a DFT calculation (PBE-GGA) of a relaxed structure of PmEuH2.

Fermi-level density of states: 0.54 states/eV/atom
E: -5.800 eV/atom
Volume: 16.945 A^3/atom

```
data_PmEuH2
_cell_length_a 3.6165
_cell_length_b 3.6165
_cell_length_c 17.9521
_cell_angle_alpha 90.00
_cell_angle_beta 90.00
_cell_angle_gamma 120.00
_symmetry_space_group_name_H-M 'R -3 m'
_symmetry_Int_Tables_number 166
_symmetry_space_group_name_Hall '-R 3 2"'
loop_
_atom_site_label
_atom_site_fract_x
_atom_site_fract_y
_atom_site_fract_z
_atom_site_occupancy
Pm1 0.0000 0.0000 0.0000 1
Eu1 0.0000 0.0000 0.5000 1
H1 0.0000 0.0000 0.2569 1
```



The following is a DFT calculation (PBE-GGA) of a relaxed structure of PrScCu2.

Fermi-level density of states: 0.65 states/eV/atom
Energy above the most stable polymorph in this dataset: 0 meV/atom
Volume: 20.218 A^3/atom
Formation energy: -18 kJ/mol of atoms

```
data_PrScCu2
_cell_length_a 3.389
_cell_length_b 3.389
_cell_length_c 7.040
_cell_angle_alpha 90.00
_cell_angle_beta 90.00
_cell_angle_gamma 90.00
_symmetry_space_group_name_H-M 'P 4/m m m'
_symmetry_Int_Tables_number 123
_symmetry_space_group_name_Hall '-P 4 2'
loop_
_atom_site_label
_atom_site_fract_x
_atom_site_fract_y
_atom_site_fract_z
_atom_site_occupancy
Pr1 0.000 0.000 0.000 1
Sc1 0.000 0.000 0.500 1
Cu1 0.500 0.500 0.298 1
```



The following is a DFT calculation (PBE-GGA) of a relaxed structure of ThMg2Hg3.

Fermi-level density of states: 0.35 states/eV/atom
Energy above the most stable polymorph in this dataset: 0 meV/atom
Volume: 23.351 A^3/atom
Formation energy: -25 kJ/mol of atoms

```
data_ThMg2Hg3
_cell_length_a 3.558
_cell_length_b 3.558
_cell_length_c 11.068
_cell_angle_alpha 90.00
_cell_angle_beta 90.00
_cell_angle_gamma 90.00
_symmetry_space_group_name_H-M 'P 4/m m m'
_symmetry_Int_Tables_number 123
_symmetry_space_group_name_Hall '-P 4 2'
loop_
_atom_site_label
_atom_site_fract_x
_atom_site_fract_y
_atom_site_fract_z
_atom_site_occupancy
Th1 0.000 0.000 0.000 1
Mg1 0.000 0.000 0.347 1
Hg1 0.500 0.500 0.196 1
Hg2 0.500 0.500 0.500 1
```



The following is a DFT calculation (PBE-GGA) of a relaxed structure of CaHoZnCo.

Fermi-level density of states: 0.98 states/eV/atom
Volume: 20.841 A^3/atom
Formation energy: -3 kJ/mol of atoms

```
data_CaHoZnCo
_cell_length_a 6.934
_cell_length_b 6.934
_cell_length_c 6.934
_cell_angle_alpha 90.00
_cell_angle_beta 90.00
_cell_angle_gamma 90.00
_symmetry_space_group_name_H-M 'F -4 3 m'
_symmetry_Int_Tables_number 216
_symmetry_space_group_name_Hall 'F -4 2 3'
loop_
_atom_site_label
_atom_site_fract_x
_atom_site_fract_y
_atom_site_fract_z
_atom_site_occupancy
Ca1 0.000 0.000 0.000 1
Ho1 0.000 0.000 0.500 1
Zn1 0.250 0.250 0.750 1
Co1 0.250 0.250 0.250 1
```



The following is a DFT calculation (PBE-GGA) of a relaxed structure of Pr2Nd3Dy8.

Fermi-level density of states: 1.44 states/eV/atom
Energy above the most stable polymorph in this dataset: 0 meV/atom
Volume: 33.002 A^3/atom
Formation energy: 2 kJ/mol of atoms

```
data_Pr2Nd3Dy8
_cell_length_a 6.234
_cell_length_b 6.248
_cell_length_c 11.370
_cell_angle_alpha 89.88
_cell_angle_beta 79.39
_cell_angle_gamma 80.40
_symmetry_space_group_name_H-M 'P -1'
_symmetry_Int_Tables_number 2
loop_
_symmetry_equiv_pos_as_xyz
'x,y,z'
'-x,-y,-z'
loop_
_atom_site_label
_atom_site_fract_x
_atom_site_fract_y
_atom_site_fract_z
_atom_site_occupancy
Pr1 0.116 0.231 0.038 1
Nd1 0.269 0.538 0.422 1
Nd2 0.500 0.000 0.500 1
Dy1 0.037 0.076 0.345 1
Dy2 0.192 0.385 0.731 1
Dy3 0.347 0.693 0.116 1
Dy4 0.424 0.846 0.808 1
```



The following is a DFT calculation (PBE-GGA) of a relaxed structure of TlPdSe3.

Fermi-level density of states: 0.22 states/eV/atom
Uncorrected formation energy: -0.23 eV/atom
Energy above the most stable polymorph in this dataset: 0 meV/atom
Volume: 26.674 A^3/atom

```
data_TlPdSe3
_cell_length_a 5.567
_cell_length_b 7.090
_cell_length_c 7.453
_cell_angle_alpha 102.67
_cell_angle_beta 102.77
_cell_angle_gamma 103.88
_symmetry_space_group_name_H-M 'P -1'
_symmetry_Int_Tables_number 2
loop_
_symmetry_equiv_pos_as_xyz
'x,y,z'
'-x,-y,-z'
loop_
_atom_site_label
_atom_site_fract_x
_atom_site_fract_y
_atom_site_fract_z
_atom_site_occupancy
Tl1 0.124 0.214 0.404 1
Pd1 0.500 0.000 0.000 1
Pd2 0.500 0.500 0.000 1
Se1 0.080 0.223 0.956 1
Se2 0.356 0.774 0.195 1
Se3 0.384 0.672 0.741 1
```



The following is a DFT calculation (PBE-GGA) of a relaxed structure of TbTm2Hg.

Fermi-level density of states: 0.85 states/eV/atom
Energy above the most stable polymorph in this dataset: 66 meV/atom
Volume: 28.821 A^3/atom
Formation energy: -16 kJ/mol of atoms

```
data_TbTm2Hg
_cell_length_a 3.5673
_cell_length_b 3.5673
_cell_length_c 31.3815
_cell_angle_alpha 90.00
_cell_angle_beta 90.00
_cell_angle_gamma 120.00
_symmetry_space_group_name_H-M 'R -3 m'
_symmetry_Int_Tables_number 166
_symmetry_space_group_name_Hall '-R 3 2"'
loop_
_atom_site_label
_atom_site_fract_x
_atom_site_fract_y
_atom_site_fract_z
_atom_site_occupancy
Tb1 0.0000 0.0000 0.0000 1
Tm1 0.0000 0.0000 0.2425 1
Hg1 0.0000 0.0000 0.5000 1
```



The following is a DFT calculation (PBE-GGA) of a relaxed structure of ScFeSi2.

Fermi-level density of states: 0.53 states/eV/atom
Uncorrected formation energy: -0.07 eV/atom
Volume: 13.934 A^3/atom

```
data_ScFeSi2
_cell_length_a 6.064
_cell_length_b 6.064
_cell_length_c 6.064
_cell_angle_alpha 90.00
_cell_angle_beta 90.00
_cell_angle_gamma 90.00
_symmetry_space_group_name_H-M 'F -4 3 m'
_symmetry_Int_Tables_number 216
_symmetry_space_group_name_Hall 'F -4 2 3'
loop_
_atom_site_label
_atom_site_fract_x
_atom_site_fract_y
_atom_site_fract_z
_atom_site_occupancy
Sc1 0.000 0.000 0.000 1
Fe1 0.250 0.250 0.250 1
Si1 0.000 0.000 0.500 1
Si2 0.250 0.250 0.750 1
```